1.
Computed, not measured: crystalline Tb3Ce4SmTe8 at its relaxed geometry at the PBE-GGA level of DFT.

Cell lengths 8.823, 8.942, 8.823 Å; angles 119.56, 120.00, 90.00 degrees
Site moments in Bohr magnetons follow the coordinates.
Sites, in units of the cell vectors:
Ce 0.500 0.000 0.000  0.97
Ce 0.500 0.000 0.500  1.01
Tb 0.000 0.500 0.500  0.01
Tb 0.500 0.500 0.500  0.01
Te 0.255 0.258 0.007  -0.01
Te 0.249 0.742 0.993  -0.01
Te 0.751 0.258 0.502  -0.01
Ce 0.000 0.000 0.500  1.01
Ce 0.000 0.000 0.000  1.01
Te 0.745 0.742 0.993  -0.01
Te 0.249 0.742 0.498  -0.01
Te 0.253 0.260 0.507  -0.01
Te 0.751 0.258 0.007  -0.01
Te 0.747 0.740 0.493  -0.01
Sm 0.000 0.500 0.000  0.00
Tb 0.500 0.500 0.000  0.01

Properties
volume: 495.4 Å³ per cell
space group: R-3m
Fermi-level density of states: 30.29 states/eV per cell
energy relative to the elements, uncorrected: -1.36 eV per atom

=====

2.
Computed, not measured: crystalline CaIn2Cl at its relaxed geometry at the PBE-GGA level of DFT.

Cell lengths 7.232, 7.232, 7.232 Å; angles 146.54, 146.54, 48.04 degrees
Sites, in units of the cell vectors:
In 0.500 0.500 0.000
Ca 0.250 0.750 0.500
Cl 0.750 0.250 0.500
In 0.000 0.000 0.000

Properties
volume: 114.5 Å³ per cell
space group: I4/mmm
Fermi-level density of states: 2.52 states/eV per cell
polymorph energy (0 for the lowest one): 0.53 eV per formula unit
energy relative to the elements, uncorrected: -0.70 eV per atom

=====

3.
Computed, not measured: crystalline Sr2RePb at its relaxed geometry at the PBE-GGA level of DFT.

Cell lengths 6.004, 6.004, 3.180 Å; angles 90.00, 90.00, 107.44 degrees
Sites, in units of the cell vectors:
Pb 0.500 0.000 0.500
Re 0.000 0.500 0.500
Sr 0.000 0.000 0.000
Sr 0.500 0.500 0.000

Properties
volume: 109.4 Å³ per cell
raw total energy: -4.189 eV per atom
space group: Cmmm
Fermi-level density of states: 4.60 states/eV per cell

=====

4.
Computed, not measured: crystalline KPr2P2N6 at its relaxed geometry at the PBE-GGA level of DFT.

Cell lengths 6.572, 6.108, 6.450 Å; angles 111.38, 82.22, 64.96 degrees
Site moments in Bohr magnetons follow the coordinates.
Sites, in units of the cell vectors:
N 0.403 0.702 0.898  0.14
N 0.597 0.298 0.102  0.14
P 0.218 0.708 0.762  -0.01
Pr 0.172 0.628 0.205  0.00
K 0.500 0.000 0.500  0.00
Pr 0.828 0.372 0.795  0.00
N 0.100 0.538 0.789  0.14
P 0.782 0.292 0.238  -0.01
N 0.150 0.875 0.620  0.08
N 0.900 0.462 0.211  0.14
N 0.850 0.125 0.380  0.08

Properties
volume: 205.1 Å³ per cell
space group: P-1
Fermi-level density of states: 3.19 states/eV per cell
energy relative to the elements, uncorrected: -0.67 eV per atom

=====

5.
Computed, not measured: crystalline Ba2MgAg7 at its relaxed geometry at the PBE-GGA level of DFT.

Cell lengths 4.654, 4.654, 11.983 Å; angles 90.00, 90.00, 90.00 degrees
Sites, in units of the cell vectors:
Ba 0.500 0.000 0.741
Ag 0.500 0.000 0.134
Ag 0.000 0.000 0.000
Ba 0.000 0.500 0.259
Ag 0.500 0.500 0.500
Mg 0.500 0.500 0.000
Ag 0.000 0.500 0.866
Ag 0.000 0.500 0.634
Ag 0.500 0.000 0.366
Ag 0.000 0.000 0.500

Properties
volume: 259.6 Å³ per cell
raw total energy: -2.707 eV per atom
space group: P-4m2
Fermi-level density of states: 4.70 states/eV per cell

=====

6.
Computed, not measured: crystalline HoZrBeRh at its relaxed geometry at the PBE-GGA level of DFT.

Cell lengths 4.719, 4.719, 4.719 Å; angles 60.00, 60.00, 60.00 degrees
Sites, in units of the cell vectors:
Be 0.500 0.500 0.500
Zr 0.750 0.750 0.750
Ho 0.250 0.250 0.250
Rh 0.000 0.000 0.000

Properties
volume: 74.3 Å³ per cell
raw total energy: -6.355 eV per atom
space group: F-43m
Fermi-level density of states: 4.16 states/eV per cell

=====

7.
Computed, not measured: crystalline La2GaSn at its relaxed geometry at the PBE-GGA level of DFT.

Cell lengths 3.468, 3.468, 12.036 Å; angles 81.72, 81.72, 60.00 degrees
Sites, in units of the cell vectors:
La 0.089 0.089 0.732
La 0.911 0.911 0.268
Ga 0.000 0.000 0.000
Sn 0.500 0.500 0.500

Properties
volume: 123.6 Å³ per cell
raw total energy: -4.292 eV per atom
space group: R-3m
Fermi-level density of states: 4.00 states/eV per cell

=====

8.
Computed, not measured: crystalline La3PrNd2Te6 at its relaxed geometry at the PBE-GGA level of DFT.

Cell lengths 4.542, 9.107, 10.142 Å; angles 102.59, 102.94, 90.00 degrees
Sites, in units of the cell vectors:
La 0.166 0.833 0.332
La 0.834 0.167 0.668
Nd 0.167 0.333 0.333
Te 0.667 0.086 0.333
Te 0.001 0.249 0.003
Nd 0.833 0.667 0.667
Te 0.332 0.419 0.664
Te 0.668 0.581 0.336
Te 0.333 0.914 0.667
La 0.500 0.500 0.000
Te 0.999 0.751 0.997
Pr 0.500 0.000 0.000

Properties
volume: 398.5 Å³ per cell
space group: C2/m
Fermi-level density of states: 7.41 states/eV per cell
energy relative to the elements, uncorrected: -1.52 eV per atom

=====

9.
Computed, not measured: crystalline CaTa2S at its relaxed geometry at the PBE-GGA level of DFT.

Cell lengths 3.848, 3.848, 11.798 Å; angles 80.61, 80.61, 90.00 degrees
Sites, in units of the cell vectors:
Ca 0.000 0.000 0.000
Ta 0.625 0.125 0.250
Ta 0.375 0.375 0.750
Ta 0.125 0.625 0.250
Ca 0.750 0.250 0.500
Ta 0.875 0.875 0.750
S 0.250 0.750 0.500
S 0.500 0.500 0.000

Properties
volume: 170.0 Å³ per cell
space group: I-42d
Fermi-level density of states: 6.00 states/eV per cell
energy relative to the elements, uncorrected: 0.24 eV per atom

=====

10.
Computed, not measured: crystalline MgCdHPt2 at its relaxed geometry at the PBE-GGA level of DFT.

Cell lengths 4.090, 4.090, 4.221 Å; angles 90.00, 90.00, 90.00 degrees
Sites, in units of the cell vectors:
Cd 0.000 0.000 0.500
Pt 0.000 0.500 0.000
Mg 0.500 0.500 0.500
H 0.000 0.000 0.000
Pt 0.500 0.000 0.000

Properties
volume: 70.6 Å³ per cell
space group: P4/mmm
Fermi-level density of states: 0.85 states/eV per cell
polymorph energy (0 for the lowest one): 0.39 eV per formula unit

=====

11.
Computed, not measured: crystalline Sr2CrGeSe at its relaxed geometry at the PBE-GGA level of DFT.

Cell lengths 5.993, 5.133, 5.993 Å; angles 90.00, 90.00, 90.00 degrees
Site moments in Bohr magnetons follow the coordinates.
Sites, in units of the cell vectors:
Se 0.000 0.500 0.000  -0.02
Sr 0.500 0.000 0.000  0.00
Cr 0.500 0.500 0.500  4.23
Ge 0.000 0.000 0.000  -0.03
Sr 0.000 0.000 0.500  0.01

Properties
volume: 184.4 Å³ per cell
space group: P4/mmm
Fermi-level density of states: 2.99 states/eV per cell
energy relative to the elements, uncorrected: 0.26 eV per atom

=====

12.
Computed, not measured: crystalline NiBi6Rh at its relaxed geometry at the PBE-GGA level of DFT.

Cell lengths 8.435, 8.435, 8.414 Å; angles 109.52, 109.47, 109.52 degrees
Sites, in units of the cell vectors:
Bi 0.164 0.668 0.832
Bi 0.331 0.495 0.157
Bi 0.157 0.337 0.494
Bi 0.836 0.332 0.168
Bi 0.174 0.836 0.331
Bi 0.669 0.505 0.843
Bi 0.495 0.157 0.331
Bi 0.843 0.663 0.506
Ni 0.000 0.500 0.000
Rh 0.500 0.500 0.500
Ni 0.500 0.000 0.000
Bi 0.338 0.174 0.843
Rh 0.000 0.000 0.500
Bi 0.826 0.164 0.669
Bi 0.662 0.826 0.157
Bi 0.505 0.843 0.669

Properties
volume: 460.3 Å³ per cell
space group: C2/m
Fermi-level density of states: 6.81 states/eV per cell
polymorph energy (0 for the lowest one): 0.21 eV per formula unit

=====

The total magnetization results, record by record, are as follows: 4.9 0.0 0.0 1.0 0.0 0.0 0.0 0.0 0.0 0.0 5.0 0.0 μB/f.u..